P.
A relaxed structure of SnC2N, computed with PBE.

a = 4.9746 Å, b = 4.9746 Å, c = 4.8357 Å
α = 59.04°, β = 59.04°, γ = 90.00°
Closest atoms and distances in Å follow each position.
Fractional coordinates of all 8 atoms:
C: 0.5088 0.1250 0.2500  2 N 1.64
C: 0.2412 0.6250 0.2500  2 N 1.64
C: 0.3750 0.4912 0.7500  2 N 1.64
C: 0.8750 0.7588 0.7500  2 N 1.64
Sn: 0.0000 0.0000 0.0000  4 C 2.36
Sn: 0.7500 0.2500 0.5000  4 C 2.36
N: 0.5000 0.5000 0.0000  4 C 1.64
N: 0.2500 0.7500 0.5000  4 C 1.64

Output
The total magnetization comes out at 0.0 μB per formula unit. For the density of states at the Fermi level, the calculation gives 3.30 states/eV/cell.



Q.
A relaxed structure of SnC2N, computed with PBE.

a = 3.9509 Å, b = 3.9509 Å, c = 3.9509 Å
α = 60.00°, β = 60.00°, γ = 60.00°
Closest atoms and distances in Å follow each position.
Fractional coordinates of all 4 atoms:
C: 0.2500 0.2500 0.2500  4 Sn 2.42, 4 N 2.42
C: 0.7500 0.7500 0.7500  4 Sn 2.42, 4 N 2.42
Sn: 0.5000 0.5000 0.5000  8 C 2.42
N: 0.0000 0.0000 0.0000  8 C 2.42

Output
The total magnetization comes out at 0.0 μB per formula unit. For the density of states at the Fermi level, the calculation gives 1.82 states/eV/cell.



Quick one: most stable of them? P



P.
A relaxed structure of SnTeCN2, computed with PBE.

a = 4.0565 Å, b = 4.0565 Å, c = 4.4091 Å
α = 90.00°, β = 90.00°, γ = 90.00°
Closest atoms and distances in Å follow each position.
Fractional coordinates of all 5 atoms:
C: 0.0000 0.0000 0.0000  4 N 2.03, 2 Te 2.20
Te: 0.0000 0.0000 0.5000  2 C 2.20
Sn: 0.5000 0.5000 0.5000  4 Te 2.87, 8 N 3.00
N: 0.0000 0.5000 0.0000  2 C 2.03
N: 0.5000 0.0000 0.0000  2 C 2.03

Output
The total magnetization comes out at 1.6 μB per formula unit. For the density of states at the Fermi level, the calculation gives 3.15 states/eV/cell.



Q.
A relaxed structure of SnTeCN2, computed with PBE.

a = 3.9012 Å, b = 3.9012 Å, c = 7.3835 Å
α = 90.00°, β = 90.00°, γ = 90.00°
Closest atoms and distances in Å follow each position.
Fractional coordinates of all 5 atoms:
C: 0.5000 0.5000 0.5000  4 Te 2.76
Te: 0.0000 0.0000 0.5000  4 C 2.76
Sn: 0.0000 0.0000 0.0000  4 N 1.95
N: 0.0000 0.5000 0.0000  2 Sn 1.95
N: 0.5000 0.0000 0.0000  2 Sn 1.95

Output
The total magnetization comes out at 1.9 μB per formula unit. For the density of states at the Fermi level, the calculation gives 3.51 states/eV/cell.



Quick one: most stable of them? P



P.
A relaxed structure of Sr2CN, computed with PBE.

a = 6.7663 Å, b = 6.7663 Å, c = 6.3562 Å
α = 57.84°, β = 57.84°, γ = 90.00°
Closest atoms and distances in Å follow each position.
Fractional coordinates of all 8 atoms:
Sr: 0.6583 0.1250 0.2500  2 N 2.47, 2 C 2.76
Sr: 0.0917 0.6250 0.2500  2 N 2.47, 2 C 2.76
Sr: 0.3750 0.3417 0.7500  2 N 2.47, 2 C 2.76
Sr: 0.8750 0.9083 0.7500  2 N 2.47, 2 C 2.76
C: 0.5000 0.5000 0.0000  4 Sr 2.76
C: 0.2500 0.7500 0.5000  4 Sr 2.76
N: 0.0000 0.0000 0.0000  4 Sr 2.47
N: 0.7500 0.2500 0.5000  4 Sr 2.47

Output
The total magnetization comes out at 3.0 μB per formula unit. For the density of states at the Fermi level, the calculation gives 5.93 states/eV/cell.



Q.
A relaxed structure of Sr2CN, computed with PBE.

a = 4.6854 Å, b = 4.6854 Å, c = 4.6854 Å
α = 60.00°, β = 60.00°, γ = 60.00°
Closest atoms and distances in Å follow each position.
Fractional coordinates of all 4 atoms:
Sr: 0.2500 0.2500 0.2500  4 C 2.87, 4 N 2.87
Sr: 0.7500 0.7500 0.7500  4 N 2.87, 4 C 2.87
C: 0.0000 0.0000 0.0000  8 Sr 2.87
N: 0.5000 0.5000 0.5000  8 Sr 2.87

Output
The total magnetization comes out at 2.9 μB per formula unit. For the density of states at the Fermi level, the calculation gives 1.08 states/eV/cell.



Quick one: most stable of them? P